CoOs2 | PBE-GGA | optimized geometry

Computed properties:
Its energy relative to the elements is 0.20 eV/atom. As for the density of states at the Fermi level: 3.8 states/eV/cell. For the energy, the calculation gives -0.355 hartree per atom. The excess energy over the best structure of this formula in the dataset is 0.163 eV/atom.

Lattice parameters (Å, degrees): 2.6870 2.6870 6.4103 90.00 90.00 120.00
Space group P-3m1 (No. 164)
One atom of each set of equivalent atoms:
Co 0.0000 0.0000 0.0000
Os 0.3333 0.6667 0.6719